A | Density functional theory data (PBEsol) for crystalline Ba2SrI6 at its relaxed geometry.

Values from the calculation:
- crystal system = trigonal
- space-group type = P321
- theoretical density (g cm⁻³) = 4.6

Cell: 8.1079 13.1408 13.1408 Å, 120.00 90.00 90.00°
Fractional coordinates of all 27 atoms:
Ba: 0.0000 0.0000 0.5876
Ba: 0.5000 0.0000 0.2670
Ba: 0.0000 0.5876 0.0000
Ba: 0.5000 0.7330 0.7330
Ba: 0.5000 0.2670 0.0000
Ba: 0.0000 0.4124 0.4124
Sr: 0.5993 0.6667 0.3333
Sr: 0.0000 0.0000 0.0000
Sr: 0.4007 0.3333 0.6667
I: 0.2521 0.9671 0.7924
I: 0.8439 0.7229 0.5500
I: 0.3311 0.8713 0.4138
I: 0.3311 0.5862 0.4574
I: 0.8439 0.8271 0.2771
I: 0.2521 0.8253 0.0329
I: 0.8439 0.4500 0.1729
I: 0.7479 0.7924 0.9671
I: 0.3311 0.5426 0.1287
I: 0.2521 0.2076 0.1747
I: 0.1561 0.5500 0.7229
I: 0.6689 0.4138 0.8713
I: 0.6689 0.4574 0.5862
I: 0.1561 0.2771 0.8271
I: 0.7479 0.0329 0.8253
I: 0.1561 0.1729 0.4500
I: 0.6689 0.1287 0.5426
I: 0.7479 0.1747 0.2076

***

B | Density functional theory data (PBEsol) for crystalline Ba2SrI6 at its relaxed geometry.

Values from the calculation:
- crystal system = trigonal
- space-group type = P-31m
- theoretical density (g cm⁻³) = 4.2

Cell: 7.0171 8.5707 8.5707 Å, 120.00 90.00 90.00°
Fractional coordinates of all 9 atoms:
I: 0.2393 0.0000 0.6723
I: 0.7607 0.0000 0.3277
I: 0.2393 0.6723 0.0000
I: 0.7607 0.3277 0.0000
I: 0.7607 0.6723 0.6723
I: 0.2393 0.3277 0.3277
Sr: 0.0000 0.0000 0.0000
Ba: 0.5000 0.6667 0.3333
Ba: 0.5000 0.3333 0.6667

***

Energy relative to the most stable one, in kJ/mol of atoms: A 0.0; B 2.9

***

A | Density functional theory data (PBEsol) for crystalline BaSr2I6 at its relaxed geometry.

Values from the calculation:
- crystal system = monoclinic
- space-group type = C2/c
- theoretical density (g cm⁻³) = 4.6

Cell: 8.7776 8.7776 11.5780 Å, 92.15 92.15 118.98°
Fractional coordinates of all 18 atoms:
Ba: 0.9746 0.0254 0.2500
Ba: 0.0254 0.9746 0.7500
Sr: 0.7074 0.4035 0.5564
Sr: 0.5965 0.2926 0.9436
Sr: 0.4035 0.7074 0.0564
Sr: 0.2926 0.5965 0.4436
I: 0.7041 0.6066 0.1340
I: 0.0681 0.4478 0.1950
I: 0.9693 0.2327 0.5331
I: 0.7673 0.0307 0.9669
I: 0.5522 0.9319 0.3050
I: 0.3934 0.2959 0.3660
I: 0.6066 0.7041 0.6340
I: 0.4478 0.0681 0.6950
I: 0.2327 0.9693 0.0331
I: 0.0307 0.7673 0.4669
I: 0.9319 0.5522 0.8050
I: 0.2959 0.3934 0.8660

***

B | Density functional theory data (PBEsol) for crystalline BaSr2I6 at its relaxed geometry.

Values from the calculation:
- crystal system = tetragonal
- space-group type = P4_2/mnm
- theoretical density (g cm⁻³) = 4.0

Cell: 7.7235 7.7235 15.0122 Å, 90.00 90.00 90.00°
Fractional coordinates of all 18 atoms:
Ba: 0.0000 0.0000 0.0000
Ba: 0.5000 0.5000 0.5000
Sr: 0.0000 0.0000 0.3330
Sr: 0.0000 0.0000 0.6670
Sr: 0.5000 0.5000 0.1670
Sr: 0.5000 0.5000 0.8330
I: 0.2015 0.7985 0.1739
I: 0.2015 0.7985 0.8261
I: 0.1891 0.8109 0.5000
I: 0.3109 0.3109 0.0000
I: 0.2985 0.2985 0.3261
I: 0.2985 0.2985 0.6739
I: 0.7015 0.7015 0.3261
I: 0.7015 0.7015 0.6739
I: 0.6891 0.6891 0.0000
I: 0.8109 0.1891 0.5000
I: 0.7985 0.2015 0.1739
I: 0.7985 0.2015 0.8261

***

C | Density functional theory data (PBEsol) for crystalline BaSr2I6 at its relaxed geometry.

Values from the calculation:
- crystal system = orthorhombic
- space-group type = Cmce
- theoretical density (g cm⁻³) = 4.6

Cell: 7.9888 7.9912 12.6863 Å, 108.36 90.00 90.00°
Fractional coordinates of all 18 atoms:
Ba: 0.5000 0.0000 0.0000
Ba: 0.0000 0.5000 0.0000
Sr: 0.0000 0.8318 0.6635
Sr: 0.5000 0.6682 0.3365
Sr: 0.0000 0.1682 0.3365
Sr: 0.5000 0.3318 0.6635
I: 0.2499 0.8372 0.1740
I: 0.7500 0.9988 0.5000
I: 0.7499 0.8368 0.1740
I: 0.2501 0.3372 0.1740
I: 0.2499 0.6632 0.8260
I: 0.2500 0.5012 0.5000
I: 0.7500 0.4988 0.5000
I: 0.7499 0.6628 0.8260
I: 0.7501 0.3368 0.1740
I: 0.2501 0.1632 0.8260
I: 0.2500 0.0012 0.5000
I: 0.7501 0.1628 0.8260

***

Energy relative to the most stable one, in kJ/mol of atoms: A 0.7; B 2.6; C 0.0

***

A | Density functional theory data (PBEsol) for crystalline BaSr2I6 at its relaxed geometry.

Values from the calculation:
- crystal system = monoclinic
- space-group type = P2_1/c
- theoretical density (g cm⁻³) = 4.5

Cell: 6.3569 8.2984 15.1225 Å, 90.00 95.09 90.00°
Fractional coordinates of all 18 atoms:
Ba: 0.5000 0.5000 0.5000
Ba: 0.0000 0.0000 0.0000
Sr: 0.3726 0.8817 0.7517
Sr: 0.1274 0.3817 0.7483
Sr: 0.8726 0.6183 0.2517
Sr: 0.6274 0.1183 0.2483
I: 0.3240 0.1551 0.5971
I: 0.0886 0.6701 0.5969
I: 0.8752 0.0308 0.7664
I: 0.6248 0.5308 0.7336
I: 0.4114 0.1701 0.9031
I: 0.1760 0.6551 0.9029
I: 0.8240 0.3449 0.0971
I: 0.5886 0.8299 0.0969
I: 0.3752 0.4692 0.2664
I: 0.1248 0.9692 0.2336
I: 0.9114 0.3299 0.4031
I: 0.6760 0.8449 0.4029

***

B | Density functional theory data (PBEsol) for crystalline BaSr2I6 at its relaxed geometry.

Values from the calculation:
- crystal system = trigonal
- space-group type = P-31m
- theoretical density (g cm⁻³) = 4.1

Cell: 7.2717 8.2671 8.2671 Å, 120.00 90.00 90.00°
Fractional coordinates of all 9 atoms:
I: 0.2480 0.0000 0.6472
I: 0.7520 0.0000 0.3528
I: 0.2480 0.6472 0.0000
I: 0.7520 0.3528 0.0000
I: 0.7520 0.6472 0.6472
I: 0.2480 0.3528 0.3528
Sr: 0.5000 0.6667 0.3333
Sr: 0.5000 0.3333 0.6667
Ba: 0.0000 0.0000 0.0000

***

Energy relative to the most stable one, in kJ/mol of atoms: A 0.9; B 0.0

***

A | Density functional theory data (PBEsol) for crystalline Ba3In2WO9 at its relaxed geometry.

Values from the calculation:
- crystal system = trigonal
- space-group type = P-3m1
- theoretical density (g cm⁻³) = 7.4

Cell: 5.8845 5.8845 7.2086 Å, 90.00 90.00 120.00°
Fractional coordinates of all 15 atoms:
Ba: 0.0000 0.0000 0.5000
Ba: 0.3333 0.6667 0.1881
Ba: 0.6667 0.3333 0.8119
In: 0.3333 0.6667 0.6684
In: 0.6667 0.3333 0.3316
W: 0.0000 0.0000 0.0000
O: 0.3114 0.1557 0.1527
O: 0.6886 0.8443 0.8473
O: 0.0000 0.5000 0.5000
O: 0.5000 0.5000 0.5000
O: 0.8443 0.1557 0.1527
O: 0.1557 0.8443 0.8473
O: 0.5000 0.0000 0.5000
O: 0.8443 0.6886 0.1527
O: 0.1557 0.3114 0.8473

***

B | Density functional theory data (PBEsol) for crystalline Ba3In2WO9 at its relaxed geometry.

Values from the calculation:
- crystal system = orthorhombic
- space-group type = Immm
- theoretical density (g cm⁻³) = 7.4

Cell: 5.8842 8.3253 10.1998 Å, 114.09 106.77 90.00°
Fractional coordinates of all 30 atoms:
Ba: 0.8384 0.5799 0.6769
Ba: 0.5000 0.2664 0.0000
Ba: 0.1616 0.9030 0.3231
Ba: 0.8384 0.0970 0.6769
Ba: 0.5000 0.7336 0.0000
Ba: 0.1616 0.4201 0.3231
In: 0.3297 0.3297 0.6594
In: 0.0000 0.0000 0.0000
In: 0.6703 0.6703 0.3406
In: 0.0000 0.5000 0.0000
W: 0.6669 0.1669 0.3338
W: 0.3331 0.8331 0.6662
O: 0.3286 0.5971 0.6572
O: 0.0000 0.2428 0.0000
O: 0.6714 0.9399 0.3428
O: 0.6396 0.9097 0.8194
O: 0.3374 0.5871 0.1741
O: 0.9807 0.2440 0.4879
O: 0.4928 0.7560 0.5121
O: 0.1633 0.4129 0.8259
O: 0.8202 0.0903 0.1806
O: 0.3286 0.0601 0.6572
O: 0.0000 0.7572 0.0000
O: 0.6714 0.4029 0.3428
O: 0.0193 0.7560 0.5121
O: 0.6626 0.4129 0.8259
O: 0.3604 0.0903 0.1806
O: 0.1798 0.9097 0.8194
O: 0.8367 0.5871 0.1741
O: 0.5072 0.2440 0.4879

***

Energy relative to the most stable one, in kJ/mol of atoms: A 0.8; B 0.0

***

A | Density functional theory data (PBEsol) for crystalline BaIn2Re at its relaxed geometry.

Values from the calculation:
- crystal system = tetragonal
- space-group type = I4/mmm
- theoretical density (g cm⁻³) = 9.8

Cell: 4.7440 5.3451 4.7440 Å, 116.34 90.00 116.34°
Last column: magnetic moment on the atom in μB.
Fractional coordinates of all 4 atoms:
Ba: 0.0000 0.0000 0.0000  -0.01
In: 0.7500 0.5000 0.2500  -0.01
In: 0.2500 0.5000 0.7500  -0.01
Re: 0.5000 0.0000 0.5000  0.33

***

B | Density functional theory data (PBEsol) for crystalline BaIn2Re at its relaxed geometry.

Values from the calculation:
- crystal system = monoclinic
- space-group type = Cm
- theoretical density (g cm⁻³) = 9.3

Cell: 3.0216 4.8742 7.2272 Å, 82.24 77.93 71.94°
Fractional coordinates of all 4 atoms:
Ba: 0.8027 0.6525 0.7422
In: 0.9279 0.0775 0.0668
In: 0.2064 0.1547 0.4324
Re: 0.5630 0.6153 0.2587

***

Energy relative to the most stable one, in kJ/mol of atoms: A 20.0; B 0.0

***

A | Density functional theory data (PBEsol) for crystalline BaInSb at its relaxed geometry.

Values from the calculation:
- crystal system = trigonal
- space-group type = P3m1
- theoretical density (g cm⁻³) = 5.9

Cell: 4.7700 4.7700 5.3168 Å, 90.00 90.00 120.00°
Fractional coordinates of all 3 atoms:
Sb: 0.6667 0.3333 0.3948
Ba: 0.0000 0.0000 0.9941
In: 0.3333 0.6667 0.6110

***

B | Density functional theory data (PBEsol) for crystalline BaInSb at its relaxed geometry.

Values from the calculation:
- crystal system = cubic
- space-group type = F-43m
- theoretical density (g cm⁻³) = 5.3

Cell: 5.4991 5.4991 5.4991 Å, 60.00 60.00 60.00°
Fractional coordinates of all 3 atoms:
Ba: 0.2500 0.2500 0.2500
In: 0.0000 0.0000 0.0000
Sb: 0.5000 0.5000 0.5000

***

Energy relative to the most stable one, in kJ/mol of atoms: A 0.0; B 41.3